No. 1
FeAs3Pb: optimized geometry, PBE-GGA.

Output
- Density: 7.769 Mg/m³
- Formation energy from the elements: 170 kJ/mol of formula units
- E above lowest polymorph: 0.0 meV per atom
- Total moment: 0.00 μB per formula unit

```
FeAs3Pb
1.0
4.707 0.000 0.000
0.000 4.707 0.000
0.000 0.000 4.707
Fe As Pb
1 3 1
direct
0.000 0.000 0.000
0.500 0.000 0.000
0.000 0.500 0.000
0.000 0.000 0.500
0.500 0.500 0.500
```

=====

No. 2
GdPt4Pb: optimized geometry, PBE-GGA.

Output
- Density: 16.492 Mg/m³
- Formation energy from the elements: -414 kJ/mol of formula units
- Total moment: 6.99 μB per formula unit

```
GdPt4Pb
1.0
-0.017 -5.327 -1.211
-0.022 -3.712 4.008
-4.473 -2.997 0.923
Pt Pb Gd
4 1 1
direct
0.125 0.625 0.625
0.625 0.625 0.125
0.625 0.125 0.625
0.625 0.625 0.625
0.000 0.000 0.000
0.250 0.250 0.250
```

=====

No. 3
CaReSi2: optimized geometry, PBE-GGA.

Output
- Density: 6.997 Mg/m³
- Formation energy from raw total energies: 436 meV per atom
- Total moment: 0.88 μB per formula unit

```
CaReSi2
1.0
5.172 0.006 0.000
2.200 4.681 0.000
-3.686 -2.343 2.770
Re Ca Si
1 1 2
direct
0.750 0.250 0.500
0.500 0.500 0.000
0.000 0.000 0.000
0.250 0.750 0.500
```

=====

No. 4
Li2TlHg9: optimized geometry, PBE-GGA.

Output
- Density: 11.417 Mg/m³
- Formation energy from the elements: -117 kJ/mol of formula units
- Total moment: 0.00 μB per formula unit

```
Li2TlHg9
1.0
3.488 0.000 0.000
0.000 9.871 0.000
0.000 -4.935 8.548
Hg Li Tl
9 2 1
direct
0.500 0.369 0.185
0.500 0.185 0.815
0.500 0.815 0.631
0.000 0.000 0.500
0.500 0.185 0.369
0.000 0.500 0.000
0.500 0.815 0.185
0.000 0.500 0.500
0.500 0.631 0.815
0.000 0.333 0.667
0.000 0.667 0.333
0.000 0.000 0.000
```

=====

No. 5
Sm6Fe13Pb: optimized geometry, PBE-GGA.

Output
- Density: 8.130 Mg/m³
- Formation energy from the elements: -174 kJ/mol of formula units
- Total moment: 25.66 μB per formula unit

```
Sm6Fe13Pb
1.0
-6.239 -1.348 4.858
5.033 -2.105 5.880
1.019 12.798 -1.763
Fe Sm Pb
26 12 2
direct
0.792 0.520 0.812
0.880 0.380 0.118
0.738 0.880 0.118
0.238 0.738 0.118
0.433 0.709 0.000
0.520 0.020 0.812
0.262 0.120 0.882
0.209 0.933 0.000
0.208 0.480 0.188
0.567 0.291 0.000
0.500 0.000 0.000
0.000 0.500 0.000
0.708 0.208 0.188
0.067 0.209 0.000
0.620 0.762 0.882
0.020 0.292 0.812
0.709 0.567 0.000
0.980 0.708 0.188
0.933 0.791 0.000
0.120 0.620 0.882
0.791 0.067 0.000
0.291 0.433 0.000
0.480 0.980 0.188
0.762 0.262 0.882
0.292 0.792 0.812
0.380 0.238 0.118
0.896 0.896 0.793
0.153 0.980 0.633
0.520 0.347 0.367
0.653 0.153 0.633
0.396 0.396 0.793
0.604 0.604 0.207
0.347 0.847 0.367
0.847 0.020 0.367
0.020 0.520 0.367
0.104 0.104 0.207
0.980 0.480 0.633
0.480 0.653 0.633
0.750 0.750 0.500
0.250 0.250 0.500
```

=====

No. 6
Pm5PuP6: optimized geometry, PBE-GGA.

Output
- Density: 6.529 Mg/m³
- Formation energy from the elements: -1718 kJ/mol of formula units
- Total moment: 4.80 μB per formula unit

```
Pm5PuP6
1.0
7.030 0.172 1.068
1.727 5.961 3.475
0.119 0.064 7.110
P Pm Pu
6 5 1
direct
0.246 0.918 0.674
0.246 0.244 0.000
0.754 0.082 0.326
0.754 0.407 0.674
0.246 0.593 0.326
0.754 0.756 0.000
0.000 0.334 0.332
0.500 0.832 0.336
0.500 0.168 0.664
0.500 0.500 0.000
0.000 0.666 0.668
0.000 0.000 0.000
```